No. 1
# LiCr, optimized geometry, DFT GGA-PBE
data_LiCr
_symmetry_space_group_name_H-M 'P 4/m m m'
_symmetry_Int_Tables_number 123
_symmetry_space_group_name_Hall '-P 4 2'
_cell_length_a 2.8592
_cell_length_b 2.8592
_cell_length_c 4.2944
_cell_angle_alpha 90.00
_cell_angle_beta 90.00
_cell_angle_gamma 90.00
loop_
_atom_site_label
_atom_site_type_symbol
_atom_site_fract_x
_atom_site_fract_y
_atom_site_fract_z
Li1 Li 0.0000 0.0000 0.0000
Cr1 Cr 0.5000 0.5000 0.5000
# Calculated formation energy ... 803 meV per atom
# Crystal system ... tetragonal
# Polymorph energy (0 for the lowest one) ... 523 meV/atom


No. 2
# LiCr3, optimized geometry, DFT GGA-PBE
data_LiCr3
_symmetry_space_group_name_H-M 'P m -3 n'
_symmetry_Int_Tables_number 223
_symmetry_space_group_name_Hall '-P 4n 2 3'
_cell_length_a 4.4974
_cell_length_b 4.4974
_cell_length_c 4.4974
_cell_angle_alpha 90.00
_cell_angle_beta 90.00
_cell_angle_gamma 90.00
loop_
_atom_site_label
_atom_site_type_symbol
_atom_site_fract_x
_atom_site_fract_y
_atom_site_fract_z
Li1 Li 0.0000 0.0000 0.0000
Cr1 Cr 0.0000 0.2500 0.5000
# Calculated formation energy ... 472 meV per atom
# Crystal system ... cubic


No. 3
# LiCr, optimized geometry, DFT GGA-PBE
data_LiCr
_symmetry_space_group_name_H-M 'P 4/m c c'
_symmetry_Int_Tables_number 124
_symmetry_space_group_name_Hall '-P 4 2c'
_cell_length_a 7.4557
_cell_length_b 7.4557
_cell_length_c 4.5428
_cell_angle_alpha 90.00
_cell_angle_beta 90.00
_cell_angle_gamma 90.00
loop_
_atom_site_label
_atom_site_type_symbol
_atom_site_fract_x
_atom_site_fract_y
_atom_site_fract_z
Li1 Li 0.0705 0.2972 0.0000
Cr1 Cr 0.3048 0.4254 0.5000
# Calculated formation energy ... 547 meV per atom
# Crystal system ... tetragonal
# Polymorph energy (0 for the lowest one) ... 267 meV/atom